(1)
The following is a DFT calculation (PBEsol) of an optimized crystal structure of NaMgSb.

## Properties
The formation energy without anion corrections comes out at -0.509 eV per atom.

a b c (Å): 4.611 4.611 7.638
angles (deg): 90.00 90.00 90.00
Sites, in units of the cell vectors:
1 Na 0.250 0.250 0.142
2 Na 0.750 0.750 0.858
3 Mg 0.250 0.750 0.500
4 Mg 0.750 0.250 0.500
5 Sb 0.250 0.250 0.728
6 Sb 0.750 0.750 0.272

(2)
The following is a DFT calculation (PBEsol) of an optimized crystal structure of Na2MgScSb.

## Properties
The formation energy without anion corrections comes out at 0.496 eV per atom.

a b c (Å): 5.097 5.097 5.628
angles (deg): 90.00 90.00 90.00
Sites, in units of the cell vectors:
1 Na 0.000 0.500 0.000
2 Na 0.500 0.000 0.000
3 Mg 0.000 0.000 0.000
4 Sc 0.000 0.000 0.500
5 Sb 0.500 0.500 0.500

(3)
The following is a DFT calculation (PBEsol) of an optimized crystal structure of NaMgSb2Te.

## Properties
The formation energy without anion corrections comes out at 0.149 eV per atom.

a b c (Å): 5.351 5.351 5.607
angles (deg): 90.00 90.00 90.00
Sites, in units of the cell vectors:
1 Na 0.000 0.000 0.000
2 Mg 0.500 0.500 0.500
3 Sb 0.000 0.500 0.500
4 Sb 0.500 0.000 0.500
5 Te 0.500 0.500 0.000

(4)
The following is a DFT calculation (PBEsol) of an optimized crystal structure of Na2MgTlSb.

## Properties
The formation energy without anion corrections comes out at 0.343 eV per atom.

a b c (Å): 5.898 5.898 5.430
angles (deg): 90.00 90.00 90.00
Sites, in units of the cell vectors:
1 Na 0.000 0.500 0.000
2 Na 0.500 0.000 0.000
3 Mg 0.000 0.000 0.500
4 Tl 0.500 0.500 0.000
5 Sb 0.500 0.500 0.500

(5)
The following is a DFT calculation (PBEsol) of an optimized crystal structure of NaMgScSn2.

## Properties
Its calculated formation energy is 1.2 eV/f.u.

a b c (Å): 5.447 5.447 5.655
angles (deg): 90.00 90.00 90.00
Sites, in units of the cell vectors:
1 Na 0.000 0.000 0.000
2 Mg 0.500 0.500 0.000
3 Sc 0.500 0.500 0.500
4 Sn 0.000 0.500 0.500
5 Sn 0.500 0.000 0.500

(6)
The following is a DFT calculation (PBEsol) of an optimized crystal structure of NaMgSe3.

## Properties
The formation energy without anion corrections comes out at -0.297 eV per atom.

a b c (Å): 5.060 5.060 5.060
angles (deg): 90.00 90.00 90.00
Sites, in units of the cell vectors:
1 Na 0.000 0.000 0.000
2 Mg 0.500 0.500 0.500
3 Se 0.000 0.500 0.500
4 Se 0.500 0.000 0.500
5 Se 0.500 0.500 0.000

(7)
The following is a DFT calculation (PBEsol) of an optimized crystal structure of Na2MgSn2.

## Properties
Its calculated formation energy is -0.7 eV/f.u.

a b c (Å): 7.500 7.500 4.934
angles (deg): 90.00 90.00 90.00
Sites, in units of the cell vectors:
1 Na 0.166 0.334 0.000
2 Na 0.334 0.834 0.000
3 Na 0.666 0.166 0.000
4 Na 0.834 0.666 0.000
5 Mg 0.000 0.000 0.500
6 Mg 0.500 0.500 0.500
7 Sn 0.136 0.636 0.500
8 Sn 0.364 0.136 0.500
9 Sn 0.636 0.864 0.500
10 Sn 0.864 0.364 0.500

(8)
The following is a DFT calculation (PBEsol) of an optimized crystal structure of NaSrMg3.

## Properties
Its calculated formation energy is 3.9 eV/f.u.

a b c (Å): 6.352 6.352 6.352
angles (deg): 90.00 90.00 90.00
Sites, in units of the cell vectors:
1 Na 0.000 0.000 0.000
2 Sr 0.500 0.500 0.500
3 Mg 0.000 0.500 0.500
4 Mg 0.500 0.000 0.500
5 Mg 0.500 0.500 0.000

(9)
The following is a DFT calculation (PBEsol) of an optimized crystal structure of NaMg2Tc.

## Properties
Its calculated formation energy is 4.2 eV/f.u.

a b c (Å): 9.989 9.989 9.989
angles (deg): 155.98 155.98 34.22
Sites, in units of the cell vectors:
1 Na 0.000 0.000 0.000
2 Na 0.750 0.250 0.500
3 Mg 0.150 0.625 0.025
4 Mg 0.375 0.400 0.525
5 Mg 0.600 0.125 0.975
6 Mg 0.875 0.850 0.475
7 Tc 0.250 0.750 0.500
8 Tc 0.500 0.500 0.000

(10)
The following is a DFT calculation (PBEsol) of an optimized crystal structure of Na2MgTlTe.

## Properties
The formation energy without anion corrections comes out at 0.093 eV per atom.

a b c (Å): 5.738 5.738 5.482
angles (deg): 90.00 90.00 90.00
Sites, in units of the cell vectors:
1 Na 0.000 0.500 0.000
2 Na 0.500 0.000 0.000
3 Mg 0.000 0.000 0.000
4 Tl 0.500 0.500 0.500
5 Te 0.000 0.000 0.500

(11)
The following is a DFT calculation (PBEsol) of an optimized crystal structure of NaMgTl2.

## Properties
Its calculated formation energy is -0.5 eV/f.u.

a b c (Å): 5.194 5.194 5.194
angles (deg): 60.00 60.00 60.00
Sites, in units of the cell vectors:
1 Na 0.000 0.000 0.000
2 Mg 0.500 0.500 0.500
3 Tl 0.250 0.250 0.250
4 Tl 0.750 0.750 0.750

(12)
The following is a DFT calculation (PBEsol) of an optimized crystal structure of NaMgZn2.

## Properties
Its calculated formation energy is 0.4 eV/f.u.

a b c (Å): 4.756 4.756 4.756
angles (deg): 60.00 60.00 60.00
Sites, in units of the cell vectors:
1 Na 0.000 0.000 0.000
2 Mg 0.500 0.500 0.500
3 Zn 0.250 0.250 0.250
4 Zn 0.750 0.750 0.750

So what do the calculations give for total moment? Going down the list: 0.0, 0.0, 0.0, 0.0, 0.0, 0.0, 0.0, 0.0, 1.6, 0.0, 0.0, 0.0 Bohr magnetons per cell.
So what do the calculations give for E_tot? Going down the list: -3.0675, -2.6395, -3.0027, -1.9982, -3.4064, -3.2305, -2.7415, -0.8925, -2.9660, -2.0414, -2.2097, -1.4797 eV per atom.